11
Lattice="7.141 -0.028 0.062 -3.554 6.194 0.062 -1.272 -2.186 8.508" Properties=species:S:1:pos:R:3 comment="K2Hf2ScTe6 (PBE, relaxed)" raw_formation_energy_mev_per_atom=-1026 crystal_system=monoclinic volume_a3_per_atom=34.31 pbc="T T T"
Te 4.142 3.016 2.647
Te 1.741 -1.111 5.985
Te -1.826 0.964 5.985
K 5.376 0.999 0.062
Te 1.716 2.950 6.032
Te 0.574 5.091 2.647
Te 0.599 1.030 2.600
Sc -0.636 -1.093 4.254
Hf -0.643 3.037 4.316
K -1.789 5.167 0.062
Hf 2.958 0.943 4.316